Record 1
InHO2 | the Alexandria database | PBE | optimized geometry; raw total energy = -5.37 eV/atom; volume = 43.4 Å³/cell
1.0
1.658 0.957 4.553
-1.658 0.957 4.553
0.000 -1.915 4.553
In H O
1 1 2
Cartesian
0.000 0.000 0.000 In
0.000 0.000 6.830 H
0.000 0.000 5.623 O
0.000 0.000 8.037 O


Record 2
La10TbHo4 | the Alexandria database | PBE | optimized geometry; energy of formation = 9.51 eV per formula unit; volume = 617.4 Å³/cell
1.0
-6.236 6.236 3.969
6.236 -6.236 3.969
6.236 6.236 -3.969
La Tb Ho
10 1 4
Cartesian
7.478 3.731 -1.983 La
3.731 4.993 -1.983 La
6.236 0.000 1.985 La
2.505 1.242 1.987 La
-1.242 2.505 1.987 La
7.478 3.731 1.983 La
3.731 4.993 1.983 La
0.000 6.236 1.985 La
2.505 1.242 5.952 La
-1.242 2.505 5.952 La
0.000 0.000 0.000 Tb
4.985 2.499 0.000 Ho
3.737 -1.251 3.969 Ho
2.499 7.486 0.000 Ho
1.251 3.737 3.969 Ho


Record 3
NaCdSnRh | the Alexandria database | PBE | optimized geometry; energy of formation = -0.60 eV per formula unit; volume = 76.2 Å³/cell
1.0
0.000 3.365 3.365
3.365 0.000 3.365
3.365 3.365 0.000
Na Cd Sn Rh
1 1 1 1
Cartesian
0.000 0.000 0.000 Na
1.682 1.682 1.682 Cd
5.047 5.047 5.047 Sn
3.365 3.365 3.365 Rh


Record 4
LaY2Pu | the Alexandria database | PBE | optimized geometry; energy of formation = 0.49 eV per formula unit; energy above the lowest structure with this stoichiometry = 0.01 eV per formula unit; volume = 129.3 Å³/cell
1.0
1.788 1.032 11.673
-1.788 1.032 11.673
0.000 -2.065 11.673
La Y Pu
1 2 1
Cartesian
0.000 0.000 0.000 La
0.000 0.000 8.653 Y
0.000 0.000 14.742 Y
0.000 0.000 29.222 Pu


Record 5
CrNi4Rh3 | the Alexandria database | PBE | optimized geometry; energy of formation = 2.19 eV per formula unit; energy above the lowest structure with this stoichiometry = 0.93 eV per formula unit; volume = 104.3 Å³/cell
1.0
8.616 -1.277 0.000
8.616 1.277 0.000
-1.266 0.000 4.740
Cr Ni Rh
1 4 3
Cartesian
0.000 0.000 0.000 Cr
3.195 0.000 3.406 Ni
5.602 0.000 2.925 Ni
10.364 0.000 1.815 Ni
12.770 0.000 1.335 Ni
6.251 0.000 0.494 Rh
7.983 0.000 2.370 Rh
9.715 0.000 4.246 Rh


Record 6
LaScZn | the Alexandria database | PBE | optimized geometry; energy of formation = -0.51 eV per formula unit; energy above the lowest structure with this stoichiometry = 0.11 eV per formula unit; volume = 76.6 Å³/cell
1.0
-1.775 1.775 6.073
1.775 -1.775 6.073
1.775 1.775 -6.073
La Sc Zn
1 1 1
Cartesian
0.000 0.000 0.000 La
0.000 0.000 8.617 Sc
0.000 0.000 3.917 Zn


Record 7
YCoAs3 | the Alexandria database | PBE | optimized geometry; energy of formation = -0.83 eV per formula unit; energy above the lowest structure with this stoichiometry = 0.00 eV per formula unit; volume = 101.6 Å³/cell
1.0
4.667 0.000 0.000
0.000 4.667 0.000
0.000 0.000 4.667
Y Co As
1 1 3
Cartesian
0.000 0.000 0.000 Y
2.333 2.333 2.333 Co
0.000 2.333 2.333 As
2.333 0.000 2.333 As
2.333 2.333 0.000 As


Record 8
Pr5Pt2Pb | the Alexandria database | PBE | optimized geometry; energy of formation = -6.03 eV per formula unit; volume = 470.3 Å³/cell
1.0
-4.091 4.091 7.025
4.091 -4.091 7.025
4.091 4.091 -7.025
Pr Pt Pb
10 4 2
Cartesian
0.000 0.000 0.000 Pr
5.390 1.300 -1.931 Pr
1.300 2.791 -1.931 Pr
5.390 1.300 1.931 Pr
1.300 2.791 1.931 Pr
0.000 0.000 7.025 Pr
2.791 1.300 5.095 Pr
-1.300 2.791 5.095 Pr
2.791 1.300 8.956 Pr
-1.300 2.791 8.956 Pr
2.985 1.106 0.000 Pt
2.985 -1.106 7.025 Pt
1.106 5.197 0.000 Pt
1.106 2.985 7.025 Pt
0.000 0.000 3.513 Pb
0.000 0.000 10.538 Pb


Record 9
Sr2HgPdAu | the Alexandria database | PBE | optimized geometry; energy of formation = -3.07 eV per formula unit; volume = 306.8 Å³/cell
1.0
8.552 0.000 0.000
0.000 4.740 0.000
-4.269 0.000 7.568
Sr Hg Pd Au
4 2 2 2
Cartesian
-0.219 1.185 1.814 Sr
-0.212 3.555 5.749 Sr
4.495 1.185 1.819 Sr
4.502 3.555 5.754 Sr
2.140 3.555 1.202 Hg
2.143 1.185 6.366 Hg
-2.129 1.185 7.271 Pd
6.412 3.555 0.297 Pd
-2.133 1.185 4.546 Au
6.416 3.555 3.022 Au


Record 10
Li3Ac3Ga8 | the Alexandria database | PBE | optimized geometry; energy of formation = -6.79 eV per formula unit; volume = 313.8 Å³/cell
1.0
-2.278 4.946 6.963
2.278 -4.946 6.963
2.278 4.946 -6.963
Li Ac Ga
3 3 8
Cartesian
0.000 0.000 0.000 Li
2.278 2.061 0.000 Li
0.000 2.884 6.963 Li
2.278 0.000 2.742 Ac
0.000 4.946 0.000 Ac
0.000 4.946 4.221 Ac
2.278 -2.725 4.948 Ga
2.278 3.602 -2.227 Ga
0.000 2.221 2.015 Ga
0.000 1.343 4.737 Ga
2.278 3.602 2.227 Ga
2.278 2.725 4.948 Ga
0.000 1.343 9.190 Ga
0.000 7.671 2.015 Ga


Record 11
AcPdF6 | the Alexandria database | PBE | optimized geometry; energy above the lowest structure with this stoichiometry = 0.00 eV per formula unit; formation energy from raw total energies = -21.4 eV/f.u.; volume = 115.1 Å³/cell
1.0
3.179 -3.456 0.000
3.179 3.456 0.000
-1.375 0.000 5.240
Ac Pd F
1 1 6
Cartesian
0.000 0.000 0.000 Ac
2.492 0.000 2.620 Pd
0.543 0.000 2.641 F
2.186 1.323 1.011 F
2.798 1.323 4.229 F
2.186 -1.323 1.011 F
2.798 -1.323 4.229 F
4.441 0.000 2.599 F


Record 12
Cs2CaGaSb2 | the Alexandria database | PBE | optimized geometry; formation energy from raw total energies = -3.2 eV/f.u.; volume = 486.1 Å³/cell
1.0
-3.667 8.836 3.750
3.667 -8.836 3.750
3.667 8.836 -3.750
Cs Ca Ga Sb
4 2 2 4
Cartesian
1.771 3.106 0.000 Cs
1.771 -3.106 3.750 Cs
1.896 11.941 0.000 Cs
1.896 5.730 3.750 Cs
3.667 0.000 1.875 Ca
0.000 8.836 1.875 Ca
0.000 0.000 1.875 Ga
0.000 0.000 5.626 Ga
5.638 1.603 0.000 Sb
1.971 7.233 0.000 Sb
1.696 1.603 3.750 Sb
-1.971 7.233 3.750 Sb


Record 13
SnIrPd2F | the Alexandria database | PBE | optimized geometry; formation energy from raw total energies = 1.2 eV/f.u.; volume = 83.1 Å³/cell
1.0
4.244 0.000 0.000
0.000 4.244 0.000
0.000 0.000 4.611
Sn Ir Pd F
1 1 2 1
Cartesian
0.000 0.000 0.000 Sn
2.122 2.122 0.000 Ir
0.000 2.122 2.306 Pd
2.122 0.000 2.306 Pd
0.000 0.000 2.306 F


Record 14
SnGePd3 | the Alexandria database | PBE | optimized geometry; energy of formation = -1.97 eV per formula unit; energy above the lowest structure with this stoichiometry = 0.00 eV per formula unit; volume = 189.9 Å³/cell
1.0
4.306 0.000 0.000
0.000 7.566 0.000
0.000 0.000 5.829
Sn Ge Pd
2 2 6
Cartesian
0.000 1.193 0.000 Sn
0.000 6.373 2.914 Sn
2.153 2.821 3.399 Ge
2.153 4.745 0.485 Ge
0.000 1.552 2.785 Pd
0.000 6.014 5.699 Pd
2.153 0.474 4.364 Pd
2.153 2.367 0.993 Pd
2.153 5.199 3.907 Pd
2.153 7.092 1.450 Pd


Record 15
KTeClO | the Alexandria database | PBE | optimized geometry; energy above the lowest structure with this stoichiometry = 0.14 eV per formula unit; formation energy from raw total energies = -4.0 eV/f.u.; volume = 107.9 Å³/cell
1.0
4.897 0.000 0.000
0.000 3.688 0.000
-0.225 0.000 5.974
K Te Cl O
1 1 1 1
Cartesian
0.000 0.000 0.000 K
2.225 1.844 2.297 Te
2.267 1.844 5.235 Cl
0.356 1.844 2.005 O


Record 16
MgCoOsRu | the Alexandria database | PBE | optimized geometry; energy of formation = 0.81 eV per formula unit; volume = 55.6 Å³/cell
1.0
0.000 3.029 3.029
3.029 0.000 3.029
3.029 3.029 0.000
Mg Co Os Ru
1 1 1 1
Cartesian
0.000 0.000 0.000 Mg
4.544 4.544 4.544 Co
3.029 3.029 3.029 Os
1.515 1.515 1.515 Ru


Record 17
HoErCoPd | the Alexandria database | PBE | optimized geometry; energy of formation = -2.10 eV per formula unit; energy above the lowest structure with this stoichiometry = 0.16 eV per formula unit; volume = 78.9 Å³/cell
1.0
0.000 3.404 3.404
3.404 0.000 3.404
3.404 3.404 0.000
Ho Er Co Pd
1 1 1 1
Cartesian
0.000 0.000 0.000 Ho
3.404 3.404 3.404 Er
1.702 1.702 1.702 Co
5.105 5.105 5.105 Pd


Record 18
CeHf2Ru | the Alexandria database | PBE | optimized geometry; energy of formation = -1.17 eV per formula unit; volume = 84.5 Å³/cell
1.0
3.251 0.000 0.000
0.000 3.251 0.000
0.000 0.000 7.994
Ce Hf Ru
1 2 1
Cartesian
0.000 0.000 0.000 Ce
1.625 1.625 2.404 Hf
1.625 1.625 5.590 Hf
0.000 0.000 3.997 Ru


Record 19
SmGa2Pd7 | the Alexandria database | PBE | optimized geometry; energy of formation = -2.90 eV per formula unit; energy above the lowest structure with this stoichiometry = 3.47 eV per formula unit; volume = 204.1 Å³/cell
1.0
3.663 -6.089 0.000
3.663 6.089 0.000
0.000 0.000 4.576
Sm Ga Pd
1 2 7
Cartesian
0.000 0.000 0.000 Sm
3.663 2.436 2.288 Ga
3.663 -2.436 2.288 Ga
1.378 1.474 2.288 Pd
3.663 3.290 0.000 Pd
1.378 -1.474 2.288 Pd
3.663 0.000 2.288 Pd
5.949 1.474 2.288 Pd
3.663 -3.290 0.000 Pd
5.949 -1.474 2.288 Pd


Record 20
TlW2Au | the Alexandria database | PBE | optimized geometry; energy of formation = 5.44 eV per formula unit; energy above the lowest structure with this stoichiometry = 3.40 eV per formula unit; volume = 158.1 Å³/cell
1.0
-3.776 3.776 2.772
3.776 -3.776 2.772
3.776 3.776 -2.772
Tl W Au
2 4 2
Cartesian
0.000 0.000 0.000 Tl
0.000 3.776 1.386 Tl
1.888 -1.776 2.079 W
2.000 1.888 0.693 W
1.888 5.552 -0.693 W
1.776 1.888 3.465 W
3.776 0.000 1.386 Au
0.000 0.000 2.772 Au